Below is an optimized crystal structure of IrC, with properties calculated at the PBE-GGA level.

a = 4.7110 Å, b = 4.7110 Å, c = 3.1009 Å
α = 90.00°, β = 90.00°, γ = 97.45°
Last column: nearest neighbours and their distance in Å.
Fractional coordinates of all 6 atoms:
Ir 0.3137 0.6863 0.5000  6 C 2.04-2.24
Ir 0.6863 0.3137 0.5000  6 C 2.04-2.24
Ir 0.0000 0.0000 0.0000  4 C 2.36
C 0.0000 0.5000 0.0000  6 Ir 2.24-2.36, 2 C 2.36
C 0.5000 0.0000 0.0000  6 Ir 2.24-2.36, 2 C 2.36
C 0.5000 0.5000 0.0000  4 Ir 2.04

Its energy of formation is 1.573 eV per atom. The uncorrected energy is -0.549 Ry per atom. For the magnetic moment, the calculation gives 0.00 μB/cell. The space group is Cmmm (65). The theoretical density comes out at 14.91 g cm⁻³. The energy relative to the lowest polymorph listed for this composition comes out at 1.1157 eV per atom.

Below is an optimized crystal structure of BaAl2ZnTc, with properties calculated at the PBE-GGA level.

a = 4.8742 Å, b = 4.8742 Å, c = 5.0702 Å
α = 90.00°, β = 90.00°, γ = 90.00°
Last column: nearest neighbours and their distance in Å.
Fractional coordinates of all 5 atoms:
Tc 0.0000 0.0000 0.0000  4 Al 2.44, 2 Zn 2.54
Al 0.5000 0.0000 0.0000  2 Tc 2.44
Al 0.0000 0.5000 0.0000  2 Tc 2.44
Zn 0.0000 0.0000 0.5000  2 Tc 2.54
Ba 0.5000 0.5000 0.5000  4 Zn 3.45, 8 Al 3.52

Its energy of formation is -0.186 eV per atom. The uncorrected energy is -0.323 Ry per atom. For the magnetic moment, the calculation gives 0.00 μB/cell. The space group is P4/mmm (123). The theoretical density comes out at 4.89 g cm⁻³.